No. 1
A relaxed Ti3AsRh crystal, computed with PBE.

Calculated values
ΔE_f = 0.208 eV per atom
Total DFT energy (no corrections) = -6.9288 eV per atom
V = 102.6 Å³ per cell

```
data_Ti3AsRh
_symmetry_space_group_name_H-M 'P m -3 m'
_symmetry_Int_Tables_number 221
_symmetry_space_group_name_Hall '-P 4 2 3'
_cell_length_a 4.682
_cell_length_b 4.682
_cell_length_c 4.682
_cell_angle_alpha 90.00
_cell_angle_beta 90.00
_cell_angle_gamma 90.00
loop_
_atom_site_label
_atom_site_fract_x
_atom_site_fract_y
_atom_site_fract_z
Ti1 0.000 0.000 0.500
As1 0.500 0.500 0.500
Rh1 0.000 0.000 0.000
```


No. 2
A relaxed CeTiAs2 crystal, computed with PBE.

Calculated values
ΔE_f = -1.091 eV per atom
Total DFT energy (no corrections) = -6.8727 eV per atom
V = 170.6 Å³ per cell

```
data_CeTiAs2
_symmetry_space_group_name_H-M 'P 63/m m c'
_symmetry_Int_Tables_number 194
_symmetry_space_group_name_Hall '-P 6c 2c'
_cell_length_a 3.8858
_cell_length_b 3.8858
_cell_length_c 13.0434
_cell_angle_alpha 90.00
_cell_angle_beta 90.00
_cell_angle_gamma 120.00
loop_
_atom_site_label
_atom_site_fract_x
_atom_site_fract_y
_atom_site_fract_z
Ce1 0.3333 0.6667 0.2500
Ti1 0.0000 0.0000 0.0000
As1 0.3333 0.6667 0.6060
```


No. 3
A relaxed TlIn3S6 crystal, computed with PBE.

Calculated values
Total DFT energy (no corrections) = -3.8931 eV per atom
V = 515.4 Å³ per cell
Raw formation energy = -358 meV per atom

```
data_TlIn3S6
_symmetry_space_group_name_H-M 'P 1 21/m 1'
_symmetry_Int_Tables_number 11
_cell_length_a 11.266
_cell_length_b 3.879
_cell_length_c 12.811
_cell_angle_alpha 90.00
_cell_angle_beta 112.97
_cell_angle_gamma 90.00
loop_
_symmetry_equiv_pos_as_xyz
'x,y,z'
'-x,-y,-z'
'-x,y+1/2,-z'
'x,-y+1/2,z'
loop_
_atom_site_label
_atom_site_fract_x
_atom_site_fract_y
_atom_site_fract_z
Tl1 0.066 0.250 0.411
In1 0.110 0.750 0.966
In2 0.261 0.250 0.779
In3 0.499 0.250 0.382
S1 0.021 0.250 0.746
S2 0.138 0.250 0.101
S3 0.163 0.750 0.567
S4 0.307 0.750 0.920
S5 0.351 0.750 0.409
S6 0.458 0.250 0.736
```


No. 4
A relaxed Ag2SbCl crystal, computed with PBE.

Calculated values
Total DFT energy (no corrections) = -2.8154 eV per atom
V = 86.5 Å³ per cell
Raw formation energy = 102 meV per atom

```
data_Ag2SbCl
_symmetry_space_group_name_H-M 'P m m m'
_symmetry_Int_Tables_number 47
_cell_length_a 3.171
_cell_length_b 5.171
_cell_length_c 5.275
_cell_angle_alpha 90.00
_cell_angle_beta 90.00
_cell_angle_gamma 90.00
loop_
_symmetry_equiv_pos_as_xyz
'x,y,z'
'-x,-y,-z'
'-x,-y,z'
'x,y,-z'
'x,-y,-z'
'-x,y,z'
'-x,y,-z'
'x,-y,z'
loop_
_atom_site_label
_atom_site_fract_x
_atom_site_fract_y
_atom_site_fract_z
Ag1 0.000 0.000 0.000
Ag2 0.500 0.500 0.000
Sb1 0.000 0.500 0.500
Cl1 0.500 0.000 0.500
```


No. 5
A relaxed LiP2W crystal, computed with PBE.

Calculated values
ΔE_f = -0.106 eV per atom
Total DFT energy (no corrections) = -6.5279 eV per atom
V = 125.1 Å³ per cell

```
data_LiP2W
_symmetry_space_group_name_H-M 'C 1 2/m 1'
_symmetry_Int_Tables_number 12
_cell_length_a 7.846
_cell_length_b 3.158
_cell_length_c 5.266
_cell_angle_alpha 90.00
_cell_angle_beta 106.58
_cell_angle_gamma 90.00
loop_
_symmetry_equiv_pos_as_xyz
'x,y,z'
'-x,-y,-z'
'-x,y,-z'
'x,-y,z'
'x+1/2,y+1/2,z'
'-x+1/2,-y+1/2,-z'
'-x+1/2,y+1/2,-z'
'x+1/2,-y+1/2,z'
loop_
_atom_site_label
_atom_site_fract_x
_atom_site_fract_y
_atom_site_fract_z
Li1 0.000 0.000 0.000
P1 0.242 0.000 0.688
W1 0.000 0.500 0.500
```


No. 6
A relaxed Pm2Zn16Pt crystal, computed with PBE.

Calculated values
ΔE_f = -0.312 eV per atom
Total DFT energy (no corrections) = -2.2031 eV per atom
V = 934.3 Å³ per cell

```
data_Pm2Zn16Pt
_symmetry_space_group_name_H-M 'R 3 m'
_symmetry_Int_Tables_number 160
_symmetry_space_group_name_Hall 'R 3 -2"'
_cell_length_a 9.0238
_cell_length_b 9.0238
_cell_length_c 13.2493
_cell_angle_alpha 90.00
_cell_angle_beta 90.00
_cell_angle_gamma 120.00
loop_
_atom_site_label
_atom_site_fract_x
_atom_site_fract_y
_atom_site_fract_z
Pm1 0.0000 0.0000 0.0000
Pm2 0.0000 0.0000 0.3282
Zn1 0.0000 0.0000 0.5653
Zn2 0.0002 0.2904 0.6672
Zn3 0.0097 0.5048 0.8181
Zn4 0.1680 0.3360 0.5002
Zn5 0.1689 0.3377 0.8463
Pt1 0.0000 0.0000 0.7664
```


No. 7
A relaxed ZnAg2Au crystal, computed with PBE.

Calculated values
ΔE_f = -0.060 eV per atom
Total DFT energy (no corrections) = -2.6231 eV per atom
V = 69.6 Å³ per cell

```
data_ZnAg2Au
_symmetry_space_group_name_H-M 'P 1 m 1'
_symmetry_Int_Tables_number 6
_cell_length_a 2.983
_cell_length_b 4.291
_cell_length_c 5.638
_cell_angle_alpha 90.00
_cell_angle_beta 105.30
_cell_angle_gamma 90.00
loop_
_symmetry_equiv_pos_as_xyz
'x,y,z'
'x,-y,z'
loop_
_atom_site_label
_atom_site_fract_x
_atom_site_fract_y
_atom_site_fract_z
Zn1 0.000 0.000 0.000
Ag1 0.240 0.000 0.493
Ag2 0.599 0.500 0.205
Au1 0.855 0.500 0.730
```


No. 8
A relaxed LuTl2Zn crystal, computed with PBE.

Calculated values
ΔE_f = -0.006 eV per atom
Total DFT energy (no corrections) = -2.6380 eV per atom
V = 97.5 Å³ per cell

```
data_LuTl2Zn
_symmetry_space_group_name_H-M 'P 4/m m m'
_symmetry_Int_Tables_number 123
_symmetry_space_group_name_Hall '-P 4 2'
_cell_length_a 3.719
_cell_length_b 3.719
_cell_length_c 7.048
_cell_angle_alpha 90.00
_cell_angle_beta 90.00
_cell_angle_gamma 90.00
loop_
_atom_site_label
_atom_site_fract_x
_atom_site_fract_y
_atom_site_fract_z
Lu1 0.000 0.000 0.000
Tl1 0.500 0.500 0.272
Zn1 0.000 0.000 0.500
```


No. 9
A relaxed HfTiRh2 crystal, computed with PBE.

Calculated values
ΔE_f = 0.000 eV per atom
Total DFT energy (no corrections) = -8.1376 eV per atom
V = 137.5 Å³ per cell

```
data_HfTiRh2
_symmetry_space_group_name_H-M 'I m m m'
_symmetry_Int_Tables_number 71
_symmetry_space_group_name_Hall '-I 2 2'
_cell_length_a 2.865
_cell_length_b 4.897
_cell_length_c 9.797
_cell_angle_alpha 90.00
_cell_angle_beta 90.00
_cell_angle_gamma 90.00
loop_
_atom_site_label
_atom_site_fract_x
_atom_site_fract_y
_atom_site_fract_z
Hf1 0.000 0.000 0.000
Ti1 0.000 0.000 0.500
Rh1 0.000 0.000 0.263
```


No. 10
A relaxed TmVGe2 crystal, computed with PBE.

Calculated values
ΔE_f = -0.379 eV per atom
Total DFT energy (no corrections) = -6.0849 eV per atom
V = 226.8 Å³ per cell

```
data_TmVGe2
_symmetry_space_group_name_H-M 'R -3 m'
_symmetry_Int_Tables_number 166
_symmetry_space_group_name_Hall '-R 3 2"'
_cell_length_a 4.1965
_cell_length_b 4.1965
_cell_length_c 14.8727
_cell_angle_alpha 90.00
_cell_angle_beta 90.00
_cell_angle_gamma 120.00
loop_
_atom_site_label
_atom_site_fract_x
_atom_site_fract_y
_atom_site_fract_z
Tm1 0.0000 0.0000 0.0000
V1 0.0000 0.0000 0.5000
Ge1 0.0000 0.0000 0.2282
```


No. 11
A relaxed HgRhPb2Br crystal, computed with PBE.

Calculated values
Total DFT energy (no corrections) = -3.5571 eV per atom
V = 147.8 Å³ per cell
Raw formation energy = -209 meV per atom

```
data_HgRhPb2Br
_symmetry_space_group_name_H-M 'P 4/m m m'
_symmetry_Int_Tables_number 123
_symmetry_space_group_name_Hall '-P 4 2'
_cell_length_a 5.269
_cell_length_b 5.269
_cell_length_c 5.323
_cell_angle_alpha 90.00
_cell_angle_beta 90.00
_cell_angle_gamma 90.00
loop_
_atom_site_label
_atom_site_fract_x
_atom_site_fract_y
_atom_site_fract_z
Hg1 0.000 0.000 0.000
Rh1 0.000 0.000 0.500
Pb1 0.000 0.500 0.500
Br1 0.500 0.500 0.000
```


No. 12
A relaxed SrZr2Sb crystal, computed with PBE.

Calculated values
Total DFT energy (no corrections) = -5.5019 eV per atom
V = 474.0 Å³ per cell
Raw formation energy = 223 meV per atom

```
data_SrZr2Sb
_symmetry_space_group_name_H-M 'I -4 2 d'
_symmetry_Int_Tables_number 122
_symmetry_space_group_name_Hall 'I -4 2bw'
_cell_length_a 8.709
_cell_length_b 8.709
_cell_length_c 6.248
_cell_angle_alpha 90.00
_cell_angle_beta 90.00
_cell_angle_gamma 90.00
loop_
_atom_site_label
_atom_site_fract_x
_atom_site_fract_y
_atom_site_fract_z
Sr1 0.000 0.000 0.000
Zr1 0.200 0.250 0.625
Sb1 0.000 0.000 0.500
```